MnBeFe: optimized geometry, PBE.

The structure in extended XYZ format:
```
3
Lattice="3.664 0.000 0.000 1.832 3.173 0.000 1.832 1.058 2.992" Properties=species:S:1:pos:R:3 pbc="T T T"
Be 5.496 3.173 2.244
Mn 3.664 2.115 1.496
Fe 0.000 0.000 0.000
```

Symmetry: F-43m
Excess energy over the best structure of this formula in the dataset: 0.491 eV/atom

MnBeFe2: optimized geometry, PBE.

The structure in extended XYZ format:
```
4
Lattice="3.936 0.000 0.000 0.000 2.378 0.005 0.000 0.638 4.463" Properties=species:S:1:pos:R:3 pbc="T T T"
Mn 0.000 1.537 2.242
Fe 1.968 0.732 1.126
Be 1.968 2.289 3.364
Fe 0.000 2.980 4.437
```

Symmetry: Pm
Raw total energy: -7.42 eV per atom

Mn5Be2FeMo2: optimized geometry, PBE.

The structure in extended XYZ format:
```
20
Lattice="3.107 0.000 0.000 0.000 8.549 0.000 0.000 0.000 8.549" Properties=species:S:1:pos:R:3 pbc="T T T"
Mn 1.553 6.791 7.989
Mn 1.553 0.000 4.275
Mn 1.553 7.989 1.758
Be 0.000 1.055 5.329
Fe 0.000 0.000 0.000
Mn 1.553 4.275 0.000
Mo 0.000 5.761 1.487
Mn 1.553 1.758 0.560
Mn 1.553 4.834 6.033
Mn 1.553 2.517 4.834
Mn 1.553 0.560 6.791
Be 0.000 3.220 1.055
Mo 0.000 2.788 7.062
Fe 0.000 4.275 4.275
Be 0.000 5.329 7.495
Mn 1.553 3.715 2.517
Be 0.000 7.495 3.220
Mn 1.553 6.033 3.715
Mo 0.000 1.487 2.788
Mo 0.000 7.062 5.761
```

Symmetry: P4/mbm
Raw total energy: -8.29 eV per atom

MnBe2Fe5Mo2: optimized geometry, PBE.

The structure in extended XYZ format:
```
20
Lattice="2.862 0.000 0.000 0.000 8.714 0.000 0.000 0.000 8.714" Properties=species:S:1:pos:R:3 pbc="T T T"
Be 0.000 1.064 5.421
Mo 0.000 7.180 5.890
Mo 0.000 2.824 7.180
Be 0.000 5.421 7.650
Fe 1.431 1.816 0.574
Mn 0.000 0.000 0.000
Fe 1.431 0.000 4.357
Fe 1.431 6.173 3.783
Fe 1.431 8.139 1.816
Fe 1.431 4.931 6.173
Fe 1.431 6.898 8.139
Mo 0.000 1.533 2.824
Fe 1.431 2.541 4.931
Fe 1.431 0.574 6.898
Mn 0.000 4.357 4.357
Be 0.000 3.293 1.064
Fe 1.431 4.357 0.000
Mo 0.000 5.890 1.533
Fe 1.431 3.783 2.541
Be 0.000 7.650 3.293
```

Symmetry: P4/mbm
Raw total energy: -8.04 eV per atom

Mn5BeFe2Mo2: optimized geometry, PBE.

The structure in extended XYZ format:
```
20
Lattice="3.762 0.000 0.000 0.000 7.971 0.000 0.000 0.000 7.971" Properties=species:S:1:pos:R:3 pbc="T T T"
Be 0.000 0.000 0.000
Mo 0.000 5.231 1.246
Mn 1.881 3.415 2.489
Fe 0.000 1.129 5.114
Mn 1.881 7.400 1.497
Mo 0.000 6.725 5.231
Fe 0.000 2.857 1.129
Mo 0.000 1.246 2.740
Fe 0.000 6.842 2.857
Mn 1.881 3.985 0.000
Fe 0.000 5.114 6.842
Be 0.000 3.985 3.985
Mn 1.881 0.000 3.985
Mn 1.881 1.497 0.571
Mn 1.881 5.482 3.415
Mn 1.881 6.474 7.400
Mn 1.881 0.571 6.474
Mn 1.881 2.489 4.556
Mn 1.881 4.556 5.482
Mo 0.000 2.740 6.725
```

Symmetry: P4/mbm
Raw total energy: -8.62 eV per atom

MnBeFe2N: optimized geometry, PBE.

The structure in extended XYZ format:
```
5
Lattice="3.884 0.000 0.000 0.000 3.913 0.000 0.000 0.000 3.884" Properties=species:S:1:pos:R:3 pbc="T T T"
Fe 0.000 0.000 1.942
Mn 0.000 1.956 0.000
N 1.942 1.956 1.942
Fe 1.942 0.000 0.000
Be 0.000 0.000 0.000
```

Symmetry: P4/mmm
Raw formation energy: 8.17 eV per formula unit

MnBeFeNiPb: optimized geometry, PBE.

The structure in extended XYZ format:
```
10
Lattice="-5.759 1.454 1.323 -0.956 -0.341 -3.787 1.060 -6.698 0.335" Properties=species:S:1:pos:R:3 pbc="T T T"
Mn 0.135 -1.937 0.140
Fe -6.036 0.497 -0.551
Mn 0.187 -5.456 -1.586
Be -4.994 -1.636 -0.622
Ni -1.333 0.133 0.324
Be -3.986 -4.815 1.439
Ni -1.281 -3.386 -1.402
Pb -2.526 -2.324 0.847
Pb -2.474 -5.844 -0.879
Fe -5.028 -2.681 1.510
```

Symmetry: R3m
Excess energy over the best structure of this formula in the dataset: 0.125 eV/atom

MnBeFeNiPb: optimized geometry, PBE.

The structure in extended XYZ format:
```
10
Lattice="-2.764 1.215 1.871 1.240 -1.352 2.708 6.374 10.736 2.440" Properties=species:S:1:pos:R:3 pbc="T T T"
Fe 0.415 0.699 0.159
Mn 2.653 4.468 1.015
Be -0.477 0.411 2.399
Pb 4.700 7.916 1.799
Pb 2.132 1.872 1.933
Be 2.090 6.455 2.265
Mn 6.459 9.160 3.590
Ni 1.905 4.424 3.311
Fe 4.222 5.392 2.733
Ni 4.472 10.468 3.177
```

Symmetry: Amm2
Excess energy over the best structure of this formula in the dataset: 0.011 eV/atom